(1)
Compound: RbMg2Pb
Source: the Alexandria database
Functional: PBE
Structure: relaxed

Properties
total magnetic moment = 0.0000 μB/atom
formation energy = -0.07 eV/atom
VASP energy = -2.041 eV per atom

extended XYZ file:
```
8
Lattice="-4.802 -1.369 -0.871 -1.546 -4.680 1.183 -5.534 2.623 13.054" Properties=species:S:1:pos:R:3 pbc="T T T"
Rb -5.653 -0.809 1.705
Rb -7.585 -0.341 11.785
Mg -4.438 0.293 7.841
Mg -6.685 -1.564 8.403
Mg -8.283 -4.201 6.679
Mg -5.873 -2.525 5.555
Pb -3.618 -0.672 4.970
Pb -9.063 -3.242 9.465
```

***

(2)
Compound: Hf6CuTc5
Source: the Alexandria database
Functional: PBE
Structure: relaxed

Properties
total magnetic moment = 0.0000 μB/atom
formation energy = -0.46 eV/atom
VASP energy = -10.101 eV per atom

extended XYZ file:
```
12
Lattice="4.433 0.019 -1.294 -0.898 5.748 -2.993 -0.084 0.409 7.961" Properties=species:S:1:pos:R:3 pbc="T T T"
Hf 3.111 3.607 2.469
Hf 3.553 0.774 3.945
Hf 1.549 4.282 -2.872
Hf 1.986 1.485 -1.415
Hf -0.102 5.402 -0.271
Hf 0.341 2.569 1.205
Tc 2.767 1.086 1.255
Tc 1.122 2.193 3.875
Tc -0.449 2.874 -1.497
Tc 2.330 3.982 -0.201
Tc 0.684 5.090 2.419
Cu 0.000 0.000 0.000
```

***

(3)
Compound: PmTmPtRh
Source: the Alexandria database
Functional: PBE
Structure: relaxed

Properties
total magnetic moment = 0.0000 μB/atom
formation energy = -0.99 eV/atom
VASP energy = -6.639 eV per atom

extended XYZ file:
```
4
Lattice="4.929 0.000 0.000 2.465 4.269 0.000 2.465 1.423 4.025" Properties=species:S:1:pos:R:3 pbc="T T T"
Tm 4.929 2.846 2.012
Rh 2.465 1.423 1.006
Pt 7.394 4.269 3.019
Pm 0.000 0.000 0.000
```

***

(4)
Compound: AgAs2PdBr
Source: the Alexandria database
Functional: PBE
Structure: relaxed

Properties
total magnetic moment = 0.2399 μB/atom
VASP energy = -3.302 eV per atom
raw formation energy = 501 meV/atom

extended XYZ file:
```
5
Lattice="4.840 0.000 0.000 0.000 4.840 0.000 0.000 0.000 5.429" Properties=species:S:1:pos:R:3 pbc="T T T"
As 0.000 2.420 0.000
As 2.420 0.000 0.000
Br 0.000 0.000 2.715
Pd 0.000 0.000 0.000
Ag 2.420 2.420 2.715
```

***

(5)
Compound: Co2AgPd2
Source: the Alexandria database
Functional: PBE
Structure: relaxed

Properties
total magnetic moment = 0.9092 μB/atom
formation energy = 0.24 eV/atom
VASP energy = -5.247 eV per atom

extended XYZ file:
```
10
Lattice="-0.124 -1.457 7.259 2.831 -6.718 -1.300 2.508 1.009 0.245" Properties=species:S:1:pos:R:3 pbc="T T T"
Co 3.120 -4.216 0.465
Co 3.531 -6.065 3.878
Co 2.095 -2.949 5.739
Co 1.684 -1.100 2.327
Pd 2.417 -6.382 1.554
Pd 1.676 -5.501 5.495
Pd 0.291 -1.792 4.405
Pd 1.031 -2.674 0.464
Ag 0.000 0.000 0.000
Ag 1.354 -4.087 2.980
```

***

(6)
Compound: PmHPd2Pt
Source: the Alexandria database
Functional: PBE
Structure: relaxed

Properties
total magnetic moment = 0.0000 μB/atom
VASP energy = -5.560 eV per atom

extended XYZ file:
```
5
Lattice="-3.932 1.278 -0.760 -1.493 -3.205 2.334 0.130 2.453 3.452" Properties=species:S:1:pos:R:3 pbc="T T T"
Pm -2.647 0.263 2.513
H 0.000 0.000 0.000
Pd 0.065 1.227 1.726
Pd -0.746 -1.602 1.167
Pt -1.966 0.639 -0.380
```

***

(7)
Compound: TlCdInHg4
Source: the Alexandria database
Functional: PBE
Structure: relaxed

Properties
total magnetic moment = 0.0000 μB/atom
formation energy = 0.02 eV/atom
VASP energy = -1.009 eV per atom

extended XYZ file:
```
14
Lattice="-2.902 5.540 -1.359 -2.167 1.092 -5.921 -9.841 -3.910 2.227" Properties=species:S:1:pos:R:3 pbc="T T T"
Tl -3.662 -1.005 0.390
Tl -11.248 3.727 -5.444
Cd -8.838 0.879 -2.279
Cd -6.073 1.844 -2.775
In -1.135 0.723 -0.888
In -13.775 1.999 -4.166
Hg -6.588 -0.400 -0.670
Hg -8.322 3.122 -4.383
Hg -3.512 0.214 -3.013
Hg -3.970 3.569 -4.118
Hg -11.034 0.299 -4.307
Hg -3.877 2.423 -0.747
Hg -10.941 -0.847 -0.935
Hg -11.398 2.508 -2.041
```

***

(8)
Compound: NaTlGa2
Source: the Alexandria database
Functional: PBE
Structure: relaxed

Properties
total magnetic moment = 0.0000 μB/atom
formation energy = 0.04 eV/atom
VASP energy = -2.390 eV per atom

extended XYZ file:
```
4
Lattice="0.000 3.613 3.613 3.613 0.000 3.613 3.613 3.613 0.000" Properties=species:S:1:pos:R:3 pbc="T T T"
Na 0.000 0.000 0.000
Tl 3.613 3.613 3.613
Ga 1.806 1.806 1.806
Ga 5.419 5.419 5.419
```

***

(9)
Compound: Ta2NiHRh
Source: the Alexandria database
Functional: PBE
Structure: relaxed

Properties
total magnetic moment = 0.0000 μB/atom
VASP energy = -8.297 eV per atom

extended XYZ file:
```
5
Lattice="4.059 0.000 0.000 0.000 4.059 0.000 0.000 0.000 3.827" Properties=species:S:1:pos:R:3 pbc="T T T"
Ni 0.000 0.000 1.913
Rh 2.030 2.030 1.913
H 0.000 0.000 0.000
Ta 0.000 2.030 0.000
Ta 2.030 0.000 0.000
```

***

(10)
Compound: TlNiP
Source: the Alexandria database
Functional: PBE
Structure: relaxed

Properties
total magnetic moment = 0.0000 μB/atom
formation energy = -0.22 eV/atom
VASP energy = -4.740 eV per atom

extended XYZ file:
```
6
Lattice="-3.855 -0.438 -0.923 0.959 -0.314 -3.858 0.688 -7.743 0.802" Properties=species:S:1:pos:R:3 pbc="T T T"
Ni 0.344 -3.871 0.401
Ni -1.104 -4.248 -1.990
Tl 1.051 -6.584 -1.264
Tl -1.811 -1.535 -0.325
P 0.731 -2.979 -1.637
P -1.490 -5.139 0.048
```

***

(11)
Compound: Ba2LiCa
Source: the Alexandria database
Functional: PBE
Structure: relaxed

Properties
total magnetic moment = 0.0000 μB/atom
formation energy = 0.09 eV/atom
VASP energy = -1.846 eV per atom

extended XYZ file:
```
4
Lattice="-0.885 -2.939 5.788 -3.065 3.167 4.847 -6.005 -1.859 1.845" Properties=species:S:1:pos:R:3 pbc="T T T"
Ca -4.978 -0.815 6.240
Ba -2.489 -0.408 3.120
Ba -7.466 -1.223 9.360
Li 0.000 0.000 0.000
```

***

(12)
Compound: PuMgAg2O4
Source: the Alexandria database
Functional: PBE
Structure: relaxed

Properties
total magnetic moment = 0.4984 μB/atom
VASP energy = -6.780 eV per atom
raw formation energy = -1597 meV/atom

extended XYZ file:
```
8
Lattice="-4.333 1.259 2.309 -2.268 -4.041 -2.049 4.636 -1.402 3.901" Properties=species:S:1:pos:R:3 pbc="T T T"
Pu -2.670 -2.708 2.031
Mg -0.869 -2.085 5.072
Ag 0.165 -4.736 2.892
Ag 0.628 -1.318 1.903
O -0.899 -2.624 3.167
O -3.708 -0.878 1.982
O -2.326 -3.088 -0.010
O 2.852 -1.460 2.727
```

***

(13)
Compound: NaHo2Zr
Source: the Alexandria database
Functional: PBE
Structure: relaxed

Properties
total magnetic moment = 0.0000 μB/atom
formation energy = 0.17 eV/atom
VASP energy = -4.590 eV per atom

extended XYZ file:
```
4
Lattice="-2.592 -1.318 -1.737 -1.327 -2.972 0.935 -9.138 4.360 7.026" Properties=species:S:1:pos:R:3 pbc="T T T"
Na 0.000 0.000 0.000
Ho -6.898 2.704 4.940
Ho -6.159 -2.634 1.284
Zr -6.529 0.035 3.112
```

***

(14)
Compound: SmAlAg2
Source: the Alexandria database
Functional: PBE
Structure: relaxed

Properties
total magnetic moment = 0.0000 μB/atom
formation energy = -0.13 eV/atom
VASP energy = -3.672 eV per atom

extended XYZ file:
```
4
Lattice="-0.616 3.926 1.676 1.706 -1.408 3.924 4.119 1.223 -1.352" Properties=species:S:1:pos:R:3 pbc="T T T"
Ag 2.060 0.612 -0.676
Ag 0.853 -0.704 1.962
Sm 2.605 1.871 2.124
Al -0.308 1.963 0.838
```

***

(15)
Compound: Ni2HS
Source: the Alexandria database
Functional: PBE
Structure: relaxed

Properties
total magnetic moment = 0.0000 μB/atom
VASP energy = -4.867 eV per atom

extended XYZ file:
```
8
Lattice="-3.705 0.191 -2.316 -2.172 -1.834 3.324 -3.793 3.279 2.208" Properties=species:S:1:pos:R:3 pbc="T T T"
Ni -3.200 0.693 -0.271
Ni -3.104 -0.285 2.130
Ni -5.246 1.677 2.335
Ni -7.791 1.188 2.237
S 0.000 0.000 0.000
S -5.219 1.324 0.198
H -2.939 -0.822 0.504
H -4.452 0.312 3.018
```

***

(16)
Compound: LiAl2H6BrO6
Source: the Alexandria database
Functional: PBE
Structure: relaxed

Properties
total magnetic moment = 0.0002 μB/atom
VASP energy = -5.579 eV per atom

extended XYZ file:
```
32
Lattice="-4.282 -2.669 -1.111 2.851 -1.285 4.112 -8.023 9.343 8.480" Properties=species:S:1:pos:R:3 pbc="T T T"
Li 0.000 0.000 0.000
Li -4.012 4.672 4.240
Al -1.904 -2.207 0.630
Al 0.473 -1.746 2.371
Al -3.538 2.926 6.612
Al -5.916 2.464 4.870
H -4.342 2.622 2.796
H -2.073 3.062 4.458
H -3.956 0.774 5.197
H -7.963 4.053 4.573
H -3.099 4.997 8.135
H -5.498 4.616 6.285
H -9.911 6.322 6.632
H -5.048 7.266 10.194
H -7.447 6.885 8.345
H -2.393 0.353 0.737
H -0.125 0.793 2.398
H -2.008 -1.495 3.137
Br -6.017 7.008 6.360
Br -2.006 2.336 2.120
O -5.063 3.079 3.277
O -2.438 3.588 5.199
O -4.392 1.562 5.583
O -7.242 3.596 4.093
O -2.735 4.471 7.393
O -5.063 3.828 5.899
O -10.205 7.046 7.224
O -5.697 7.921 10.525
O -8.025 7.278 9.031
O -2.100 -0.371 0.146
O 0.525 0.138 2.068
O -1.429 -1.888 2.451
```

***

(17)
Compound: GaPdRh
Source: the Alexandria database
Functional: PBE
Structure: relaxed

Properties
total magnetic moment = 0.0000 μB/atom
formation energy = -0.35 eV/atom
VASP energy = -5.539 eV per atom

extended XYZ file:
```
3
Lattice="2.834 0.000 0.000 0.000 4.260 0.000 0.000 -2.130 3.689" Properties=species:S:1:pos:R:3 pbc="T T T"
Rh 2.086 0.000 2.460
Ga 2.827 0.000 0.000
Pd 0.755 2.130 1.230
```

***

(18)
Compound: Ti3In
Source: the Alexandria database
Functional: PBE
Structure: relaxed

Properties
total magnetic moment = 0.0000 μB/atom
formation energy = -0.13 eV/atom
VASP energy = -6.736 eV per atom

extended XYZ file:
```
8
Lattice="5.908 0.000 0.000 -2.954 5.116 0.000 0.000 0.000 4.786" Properties=species:S:1:pos:R:3 pbc="T T T"
Ti 0.000 1.682 1.197
Ti 1.497 4.275 1.197
Ti -1.497 4.275 1.197
Ti 2.954 3.434 3.590
Ti 1.457 0.841 3.590
Ti 4.451 0.841 3.590
In 0.000 3.411 3.590
In 2.954 1.705 1.197
```

***

(19)
Compound: LaBe2Sb
Source: the Alexandria database
Functional: PBE
Structure: relaxed

Properties
total magnetic moment = 0.0000 μB/atom
VASP energy = -4.199 eV per atom
raw formation energy = -74 meV/atom

extended XYZ file:
```
4
Lattice="4.131 0.000 0.000 0.000 4.577 -0.005 0.000 0.005 4.766" Properties=species:S:1:pos:R:3 pbc="T T T"
Sb 2.066 3.436 3.570
Be 0.000 3.432 0.171
Be 0.000 3.435 2.204
La 2.066 1.145 1.190
```

***

(20)
Compound: Pr4Ho9Er11
Source: the Alexandria database
Functional: PBE
Structure: relaxed

Properties
total magnetic moment = 0.0022 μB/atom
formation energy = 0.06 eV/atom
VASP energy = -4.540 eV per atom

extended XYZ file:
```
24
Lattice="-1.719 3.188 0.656 -12.140 -7.497 4.622 9.603 2.881 11.154" Properties=species:S:1:pos:R:3 pbc="T T T"
Pr -0.343 -0.387 11.300
Pr -3.912 -1.041 5.132
Pr -4.694 -2.463 9.993
Pr 0.439 1.035 6.440
Ho -7.012 -2.699 5.066
Ho 2.756 1.270 11.366
Ho 3.272 2.210 8.156
Ho -7.528 -3.638 8.277
Ho -1.457 -1.626 14.403
Ho -2.798 0.198 2.030
Ho -4.635 -3.143 13.448
Ho 0.379 1.715 2.984
Ho -2.128 -0.714 8.216
Er 1.981 -1.691 13.401
Er -4.518 -2.925 2.375
Er -5.909 -5.457 11.030
Er 3.373 0.841 4.746
Er -4.246 -3.729 6.994
Er 1.709 -0.887 8.783
Er -8.681 -5.846 5.661
Er 6.144 1.230 10.115
Er 0.000 0.000 0.000
Er -1.815 -3.303 11.289
Er -0.722 -1.313 4.487
```

***

(21)
Compound: NdY6Mg
Source: the Alexandria database
Functional: PBE
Structure: relaxed

Properties
total magnetic moment = 0.0006 μB/atom
formation energy = 0.11 eV/atom
VASP energy = -5.530 eV per atom

extended XYZ file:
```
8
Lattice="-0.579 6.667 -6.631 -2.927 -1.522 -7.962 -4.553 2.762 -3.515" Properties=species:S:1:pos:R:3 pbc="T T T"
Nd -4.030 3.953 -9.054
Y -4.727 1.622 -6.551
Y -6.639 5.666 -15.268
Y -1.822 3.712 -6.113
Y -1.421 2.240 -2.840
Y -3.332 6.284 -11.557
Y -6.237 4.195 -11.995
Mg 0.000 0.000 0.000
```

***

(22)
Compound: LaNbAg2Pb
Source: the Alexandria database
Functional: PBE
Structure: relaxed

Properties
total magnetic moment = 0.0015 μB/atom
formation energy = 1.63 eV/atom
VASP energy = -3.253 eV per atom

extended XYZ file:
```
5
Lattice="-3.388 1.925 -3.599 -1.132 -5.449 -1.849 -3.951 -0.373 3.520" Properties=species:S:1:pos:R:3 pbc="T T T"
Pb -0.566 -2.724 -0.924
Nb -4.236 -1.948 -0.964
Ag -1.976 -0.187 1.760
Ag -1.694 0.963 -1.800
La 0.000 0.000 0.000
```

***

(23)
Compound: LiTi2O3
Source: the Alexandria database
Functional: PBE
Structure: relaxed

Properties
total magnetic moment = 0.0000 μB/atom
VASP energy = -8.000 eV per atom
raw formation energy = -2570 meV/atom

extended XYZ file:
```
6
Lattice="2.882 0.000 -0.554 -0.283 3.839 -1.476 -0.503 -0.264 5.161" Properties=species:S:1:pos:R:3 pbc="T T T"
Li 1.441 0.000 -0.277
Ti 1.969 1.098 2.469
Ti 0.127 2.477 0.662
O 1.300 1.919 -1.015
O 1.840 3.044 1.799
O 0.256 0.531 1.331
```

***

(24)
Compound: TbPdI
Source: the Alexandria database
Functional: PBE
Structure: relaxed

Properties
total magnetic moment = 0.0000 μB/atom
VASP energy = -4.518 eV per atom
raw formation energy = -727 meV/atom

extended XYZ file:
```
12
Lattice="7.580 0.300 0.575 -2.508 7.330 -0.156 2.564 3.318 6.348" Properties=species:S:1:pos:R:3 pbc="T T T"
I 7.307 3.565 3.105
I 8.589 5.084 6.352
I 5.303 6.962 2.515
I 1.512 6.672 2.300
Tb -0.500 8.711 3.527
Tb 4.575 4.006 1.614
Tb 5.857 3.608 5.863
Tb 3.290 6.805 4.889
Pd 3.494 3.855 4.295
Pd 5.126 8.550 6.187
Pd 2.212 2.578 0.922
Pd 1.336 8.781 5.700
```